Entry from Alexandria via LeMat-Bulk: Ce5PmSn5 after structural relaxation (PBE-GGA).

Cell lengths 6.3369, 7.7453, 8.8940 Å; angles 106.48, 90.00, 114.15 degrees
Each line ends with the local moment (μB).
Positions (direct):
Sn: 0.5000 0.0000 0.0000  -0.03
Sn: 0.1689 0.3377 0.8278  -0.03
Sn: 0.8325 0.6650 0.6621  -0.03
Sn: 0.1675 0.3350 0.3379  -0.03
Sn: 0.8311 0.6623 0.1722  -0.03
Pm: 0.0000 0.0000 0.0000  -0.04
Ce: 0.6669 0.3337 0.8338  0.58
Ce: 0.3372 0.6744 0.6651  0.57
Ce: 0.6628 0.3256 0.3349  0.57
Ce: 0.0000 0.0000 0.5000  0.74
Ce: 0.3331 0.6663 0.1662  0.58

Values from the calculation:
DOS(E_F)   28.677 states/eV/f.u.
Symmetry   C2/m, No. 12
Crystal system   monoclinic
Calculated total energy   -0.1946 hartree per atom



Entry from Alexandria via LeMat-Bulk: Ba2Ga6O11 after structural relaxation (PBE-GGA).

Cell lengths 5.1720, 8.9289, 23.2613 Å; angles 90.00, 90.00, 90.00 degrees
Positions (direct):
Ga: 0.6130 0.7058 0.7131
Ga: 0.0105 0.6795 0.9271
Ga: 0.5000 0.8321 0.0000
Ga: 0.8870 0.7942 0.2131
Ga: 0.5000 0.1679 0.0000
Ga: 0.0000 0.0000 0.5000
Ga: 0.1130 0.7942 0.7869
Ga: 0.0000 0.6679 0.5000
Ga: 0.1130 0.2058 0.7869
Ga: 0.4895 0.1795 0.4271
Ga: 0.0000 0.3321 0.5000
Ga: 0.5105 0.8205 0.5729
Ga: 0.5105 0.1795 0.5729
Ga: 0.8870 0.2058 0.2131
Ga: 0.3870 0.2942 0.2869
Ga: 0.4895 0.8205 0.4271
Ga: 0.0105 0.3205 0.9271
Ga: 0.9895 0.6795 0.0729
Ga: 0.5000 0.5000 0.0000
Ga: 0.0000 0.0000 0.0000
Ga: 0.3870 0.7058 0.2869
Ga: 0.5000 0.5000 0.5000
Ga: 0.6130 0.2942 0.7131
Ga: 0.9895 0.3205 0.0729
O: 0.4702 0.2383 0.7835
O: 0.5075 0.8213 0.3469
O: 0.6772 0.6574 0.4515
O: 0.1708 0.5000 0.4562
O: 0.9925 0.6787 0.8469
O: 0.0075 0.3213 0.1531
O: 0.9925 0.3213 0.8469
O: 0.4373 0.5000 0.3003
O: 0.3228 0.3426 0.5485
O: 0.0298 0.2617 0.2835
O: 0.8560 0.8369 0.5493
O: 0.8228 0.1574 0.9515
O: 0.8228 0.8426 0.9515
O: 0.3280 0.0000 0.5552
O: 0.4925 0.8213 0.6531
O: 0.6772 0.3426 0.4515
O: 0.0627 0.0000 0.8003
O: 0.6708 0.0000 0.0438
O: 0.5627 0.5000 0.6997
O: 0.5075 0.1787 0.3469
O: 0.4925 0.1787 0.6531
O: 0.1440 0.1631 0.4507
O: 0.5298 0.7617 0.2165
O: 0.3228 0.6574 0.5485
O: 0.4702 0.7617 0.7835
O: 0.6440 0.3369 0.0493
O: 0.3292 0.0000 0.9562
O: 0.5298 0.2383 0.2165
O: 0.6720 0.0000 0.4448
O: 0.8280 0.5000 0.9448
O: 0.8560 0.1631 0.5493
O: 0.9373 0.0000 0.1997
O: 0.0075 0.6787 0.1531
O: 0.1720 0.5000 0.0552
O: 0.1772 0.8426 0.0485
O: 0.9702 0.7383 0.7165
O: 0.0298 0.7383 0.2835
O: 0.3560 0.6631 0.9507
O: 0.1772 0.1574 0.0485
O: 0.6440 0.6631 0.0493
O: 0.9702 0.2617 0.7165
O: 0.1440 0.8369 0.4507
O: 0.3560 0.3369 0.9507
O: 0.8292 0.5000 0.5438
Ba: 0.9639 0.0000 0.3450
Ba: 0.1069 0.5000 0.6406
Ba: 0.0361 0.0000 0.6550
Ba: 0.3931 0.0000 0.1406
Ba: 0.5361 0.5000 0.8450
Ba: 0.8931 0.5000 0.3594
Ba: 0.4639 0.5000 0.1550
Ba: 0.6069 0.0000 0.8594

Values from the calculation:
DOS(E_F)   0.000 states/eV/f.u.
Symmetry   Pnnm, No. 58
Uncorrected formation energy   -2124.4 meV/atom
Crystal system   orthorhombic



Entry from Alexandria via LeMat-Bulk: AlTcCl3 after structural relaxation (PBE-GGA).

Cell lengths 4.9612, 4.9612, 4.9612 Å; angles 90.00, 90.00, 90.00 degrees
Each line ends with the local moment (μB).
Positions (direct):
Cl: 0.5000 0.0000 0.0000  0.08
Cl: 0.0000 0.5000 0.0000  0.03
Cl: 0.0000 0.0000 0.5000  0.03
Tc: 0.0000 0.0000 0.0000  2.35
Al: 0.5000 0.5000 0.5000  0.00

Values from the calculation:
DOS(E_F)   2.739 states/eV/f.u.
Symmetry   Pm-3m, No. 221
Uncorrected formation energy   -99.1 meV/atom
ΔE to the lowest computed polymorph   0.000 eV/f.u.
Crystal system   cubic



Entry from Alexandria via LeMat-Bulk: YCu2Ni after structural relaxation (PBE-GGA).

Cell lengths 3.2411, 3.2840, 5.9590 Å; angles 90.00, 90.00, 90.00 degrees
Positions (direct):
Cu: 0.5000 0.5000 0.2491
Cu: 0.0000 0.0000 0.0546
Y: 0.5000 0.5000 0.7374
Ni: 0.0000 0.0000 0.4588

Values from the calculation:
DOS(E_F)   2.717 states/eV/f.u.
Symmetry   Pmm2, No. 25
ΔE to the lowest computed polymorph   0.679 eV/f.u.
Crystal system   orthorhombic



Entry from Alexandria via LeMat-Bulk: TbPm2Se4 after structural relaxation (PBE-GGA).

Cell lengths 8.3110, 8.2615, 8.2615 Å; angles 60.76, 59.80, 59.80 degrees
Positions (direct):
Se: 0.2517 0.7474 0.2474
Se: 0.2566 0.2486 0.2383
Se: 0.7434 0.7514 0.7617
Se: 0.7483 0.2526 0.7526
Se: 0.2566 0.7383 0.7486
Se: 0.2464 0.2526 0.7526
Se: 0.7434 0.2617 0.2514
Se: 0.7536 0.7474 0.2474
Pm: 0.0000 0.0000 0.0000
Pm: 0.0000 0.5000 0.5000
Pm: 0.0000 0.0000 0.5000
Pm: 0.5000 0.0000 0.5000
Tb: 0.5000 0.5000 0.0000
Tb: 0.0000 0.5000 0.0000

Values from the calculation:
DOS(E_F)   2.110 states/eV/f.u.
Symmetry   Imma, No. 74
Uncorrected formation energy   -1876.7 meV/atom
ΔE to the lowest computed polymorph   0.000 eV/f.u.
Crystal system   orthorhombic



Entry from Alexandria via LeMat-Bulk: BC2 after structural relaxation (PBE-GGA).

Cell lengths 5.8685, 5.8685, 3.7620 Å; angles 89.25, 90.75, 143.20 degrees
Positions (direct):
B: 0.1397 0.2813 0.2852
B: 0.3581 0.7167 0.9571
B: 0.2167 0.8581 0.5429
B: 0.7813 0.6397 0.2148
C: 0.9750 0.4750 0.7500
C: 0.5061 0.0061 0.2500
C: 0.6687 0.3265 0.9984
C: 0.0085 0.0118 0.9830
C: 0.8265 0.1687 0.5016
C: 0.6746 0.8331 0.7443
C: 0.3331 0.1746 0.7557
C: 0.5118 0.5085 0.5170

Values from the calculation:
DOS(E_F)   0.125 states/eV/f.u.
Symmetry   C2, No. 5
ΔE to the lowest computed polymorph   0.148 eV/f.u.
Crystal system   monoclinic



Entry from Alexandria via LeMat-Bulk: Tc3SbF after structural relaxation (PBE-GGA).

Cell lengths 5.0774, 5.0774, 5.0774 Å; angles 90.00, 90.00, 90.00 degrees
Each line ends with the local moment (μB).
Positions (direct):
F: 0.5000 0.5000 0.5000  0.17
Tc: 0.0000 0.5000 0.0000  2.47
Tc: 0.0000 0.0000 0.5000  2.59
Tc: 0.5000 0.0000 0.0000  2.38
Sb: 0.0000 0.0000 0.0000  -0.11

Values from the calculation:
DOS(E_F)   7.588 states/eV/f.u.
Symmetry   Pm-3m, No. 221
Uncorrected formation energy   1884.2 meV/atom
ΔE to the lowest computed polymorph   5.219 eV/f.u.
Crystal system   cubic



Entry from Alexandria via LeMat-Bulk: PmZn4Cu8 after structural relaxation (PBE-GGA).

Cell lengths 4.9292, 6.6186, 6.6186 Å; angles 82.03, 68.14, 68.14 degrees
Positions (direct):
Cu: 0.3570 0.6430 0.6430
Cu: 0.5000 0.2223 0.7777
Cu: 0.0000 0.3570 0.6430
Cu: 0.5000 0.7777 0.2223
Cu: 0.2777 0.2223 0.2223
Cu: 0.0000 0.6430 0.3570
Cu: 0.6430 0.3570 0.3570
Cu: 0.7223 0.7777 0.7777
Pm: 0.0000 0.0000 0.0000
Zn: 0.5000 0.0000 0.5000
Zn: 0.5000 0.5000 0.0000
Zn: 0.0000 0.0000 0.5000
Zn: 0.0000 0.5000 0.0000

Values from the calculation:
DOS(E_F)   5.877 states/eV/f.u.
Symmetry   I4/mmm, No. 139
Crystal system   tetragonal
Calculated total energy   -0.1248 hartree per atom



Entry from Alexandria via LeMat-Bulk: In2RePt after structural relaxation (PBE-GGA).

Cell lengths 4.6843, 4.6843, 4.6843 Å; angles 60.00, 60.00, 60.00 degrees
Positions (direct):
In: 0.0000 0.0000 0.0000
In: 0.2500 0.2500 0.2500
Pt: 0.5000 0.5000 0.5000
Re: 0.7500 0.7500 0.7500

Values from the calculation:
DOS(E_F)   6.456 states/eV/f.u.
Symmetry   F-43m, No. 216
ΔE to the lowest computed polymorph   1.474 eV/f.u.
Crystal system   cubic



Entry from Alexandria via LeMat-Bulk: LiGeSb2 after structural relaxation (PBE-GGA).

Cell lengths 3.7374, 3.7374, 8.3029 Å; angles 76.49, 76.49, 59.95 degrees
Positions (direct):
Li: 0.4990 0.4990 0.5004
Sb: 0.2517 0.2517 0.2350
Sb: 0.0830 0.0830 0.7634
Ge: 0.6664 0.6664 0.0012

Values from the calculation:
DOS(E_F)   2.372 states/eV/f.u.
Symmetry   Cm, No. 8
Uncorrected formation energy   -9.8 meV/atom
Crystal system   monoclinic



Entry from Alexandria via LeMat-Bulk: MgCoAs2Br after structural relaxation (PBE-GGA).

Cell lengths 4.4860, 4.4860, 5.5607 Å; angles 90.00, 90.00, 90.00 degrees
Each line ends with the local moment (μB).
Positions (direct):
As: 0.5000 0.0000 0.0000  0.07
As: 0.0000 0.5000 0.0000  0.07
Mg: 0.5000 0.5000 0.5000  0.01
Co: 0.0000 0.0000 0.0000  0.43
Br: 0.0000 0.0000 0.5000  0.06

Values from the calculation:
DOS(E_F)   5.102 states/eV/f.u.
Symmetry   P4/mmm, No. 123
Uncorrected formation energy   155.7 meV/atom
ΔE to the lowest computed polymorph   0.000 eV/f.u.
Crystal system   tetragonal



Entry from Alexandria via LeMat-Bulk: CrP2Au after structural relaxation (PBE-GGA).

Cell lengths 8.1442, 8.1442, 8.1442 Å; angles 20.81, 20.81, 20.81 degrees
Positions (direct):
P: 0.4826 0.4826 0.4826
P: 0.0174 0.0174 0.0174
Au: 0.2500 0.2500 0.2500
Cr: 0.7500 0.7500 0.7500

Values from the calculation:
DOS(E_F)   2.763 states/eV/f.u.
Symmetry   R-3m, No. 166
ΔE to the lowest computed polymorph   0.000 eV/f.u.
Crystal system   trigonal



Entry from Alexandria via LeMat-Bulk: KZnCoSn2 after structural relaxation (PBE-GGA).

Cell lengths 4.9606, 4.9606, 4.9012 Å; angles 90.00, 90.00, 90.00 degrees
Each line ends with the local moment (μB).
Positions (direct):
Sn: 0.0000 0.5000 0.0000  0.01
Sn: 0.5000 0.0000 0.0000  0.01
Zn: 0.0000 0.0000 0.5000  -0.01
Co: 0.0000 0.0000 0.0000  0.18
K: 0.5000 0.5000 0.5000  0.01

Values from the calculation:
DOS(E_F)   4.616 states/eV/f.u.
Symmetry   P4/mmm, No. 123
Crystal system   tetragonal
Calculated total energy   -0.1282 hartree per atom



Entry from Alexandria via LeMat-Bulk: CePm2Tl after structural relaxation (PBE-GGA).

Cell lengths 3.6626, 3.6626, 9.0472 Å; angles 90.00, 90.00, 90.00 degrees
Each line ends with the local moment (μB).
Positions (direct):
Ce: 0.5000 0.5000 0.5000  0.39
Tl: 0.5000 0.5000 0.0000  -0.01
Pm: 0.0000 0.0000 0.7623  -0.02
Pm: 0.0000 0.0000 0.2377  -0.02

Values from the calculation:
DOS(E_F)   4.800 states/eV/f.u.
Symmetry   P4/mmm, No. 123
ΔE to the lowest computed polymorph   0.075 eV/f.u.
Crystal system   tetragonal



Entry from Alexandria via LeMat-Bulk: Tl2InPd2 after structural relaxation (PBE-GGA).

Cell lengths 8.3655, 8.3655, 3.1219 Å; angles 90.00, 90.00, 90.00 degrees
Positions (direct):
Pd: 0.3501 0.1499 0.5000
Pd: 0.6499 0.8501 0.5000
Pd: 0.8501 0.3501 0.5000
Pd: 0.1499 0.6499 0.5000
Tl: 0.3537 0.8537 0.0000
Tl: 0.1463 0.3537 0.0000
Tl: 0.8537 0.6463 0.0000
Tl: 0.6463 0.1463 0.0000
In: 0.0000 0.0000 0.0000
In: 0.5000 0.5000 0.0000

Values from the calculation:
DOS(E_F)   1.908 states/eV/f.u.
Symmetry   P4/mbm, No. 127
ΔE to the lowest computed polymorph   0.544 eV/f.u.
Crystal system   tetragonal



Entry from Alexandria via LeMat-Bulk: NiOsBr2 after structural relaxation (PBE-GGA).

Cell lengths 3.3983, 3.3085, 7.4596 Å; angles 83.83, 90.00, 90.00 degrees
Positions (direct):
Br: 0.0000 0.8455 0.9229
Br: 0.5000 0.2396 0.3493
Os: 0.5000 0.9395 0.6814
Ni: 0.0000 0.4754 0.5464

Values from the calculation:
DOS(E_F)   2.084 states/eV/f.u.
Symmetry   Pm, No. 6
Uncorrected formation energy   447.3 meV/atom
ΔE to the lowest computed polymorph   0.000 eV/f.u.
Crystal system   monoclinic



Entry from Alexandria via LeMat-Bulk: AlGaGe after structural relaxation (PBE-GGA).

Cell lengths 4.4290, 4.4290, 4.4290 Å; angles 60.00, 60.00, 60.00 degrees
Positions (direct):
Ga: 0.0000 0.0000 0.0000
Ge: 0.5000 0.5000 0.5000
Al: 0.2500 0.2500 0.2500

Values from the calculation:
DOS(E_F)   0.076 states/eV/f.u.
Symmetry   F-43m, No. 216
ΔE to the lowest computed polymorph   0.000 eV/f.u.
Crystal system   cubic



Entry from Alexandria via LeMat-Bulk: In2ReIr after structural relaxation (PBE-GGA).

Cell lengths 4.6590, 4.6590, 3.1995 Å; angles 90.00, 90.00, 90.00 degrees
Positions (direct):
In: 0.0000 0.0000 0.0000
In: 0.5000 0.5000 0.0000
Ir: 0.5000 0.0000 0.5000
Re: 0.0000 0.5000 0.5000

Values from the calculation:
DOS(E_F)   3.447 states/eV/f.u.
Symmetry   P4/mmm, No. 123
ΔE to the lowest computed polymorph   1.186 eV/f.u.
Crystal system   tetragonal



Entry from Alexandria via LeMat-Bulk: Ti3Cu2Ni7 after structural relaxation (PBE-GGA).

Cell lengths 2.5871, 4.6658, 12.7384 Å; angles 75.13, 90.00, 90.00 degrees
Positions (direct):
Ni: 0.5000 0.7437 0.5003
Ni: 0.0000 0.0000 0.0000
Ni: 0.5000 0.0548 0.1637
Ni: 0.0000 0.5607 0.1667
Ni: 0.5000 0.2563 0.4997
Ni: 0.0000 0.4393 0.8333
Ni: 0.5000 0.9452 0.8363
Ti: 0.5000 0.5000 0.0000
Ti: 0.0000 0.1139 0.3432
Ti: 0.0000 0.8861 0.6568
Cu: 0.5000 0.3741 0.6754
Cu: 0.5000 0.6259 0.3246

Values from the calculation:
DOS(E_F)   12.332 states/eV/f.u.
Symmetry   P2/m, No. 10
Crystal system   monoclinic
Calculated total energy   -0.2269 hartree per atom



Entry from Alexandria via LeMat-Bulk: DyBe17Os after structural relaxation (PBE-GGA).

Cell lengths 5.6321, 5.6321, 5.6321 Å; angles 83.14, 83.14, 83.14 degrees
Positions (direct):
Be: 0.6471 0.6471 0.1680
Be: 0.7020 0.0090 0.2890
Be: 0.7020 0.2890 0.0090
Be: 0.6471 0.1680 0.6471
Be: 0.5042 0.9966 0.9966
Be: 0.9966 0.9966 0.5042
Be: 0.1680 0.6471 0.6471
Be: 0.2890 0.7020 0.0090
Be: 0.0090 0.7020 0.2890
Be: 0.8652 0.3405 0.3405
Be: 0.3405 0.3405 0.8652
Be: 0.1017 0.1017 0.1017
Be: 0.0090 0.2890 0.7020
Be: 0.9086 0.9086 0.9086
Be: 0.3405 0.8652 0.3405
Be: 0.9966 0.5042 0.9966
Be: 0.2890 0.0090 0.7020
Dy: 0.6586 0.6586 0.6586
Os: 0.3254 0.3254 0.3254

Values from the calculation:
DOS(E_F)   6.240 states/eV/f.u.
Symmetry   R3m, No. 160
Crystal system   trigonal
Calculated total energy   -0.1564 hartree per atom